Entry 1:
# PBE-GGA CaTaTc2, relaxed
# Energy above the lowest structure with this stoichiometry, eV per atom: 0.2778
# Fermi-level density of states, states/eV per cell: 6.70
# Total DFT energy (no corrections), eV per atom: -8.188
# Formation energy from the elements, eV/atom: 0.459
data_CaTaTc2
_chemical_formula_sum 'Ca2 Ta2 Tc4'
_cell_length_a 3.2238
_cell_length_b 5.0403
_cell_length_c 8.8531
_cell_angle_alpha 90.00
_cell_angle_beta 90.00
_cell_angle_gamma 90.00
_symmetry_space_group_name_H-M 'I m m m'
_symmetry_Int_Tables_number 71
_symmetry_space_group_name_Hall '-I 2 2'
loop_
_atom_site_label
_atom_site_type_symbol
_atom_site_fract_x
_atom_site_fract_y
_atom_site_fract_z
Ca1 Ca 0.0000 0.0000 0.0000
Ta1 Ta 0.0000 0.0000 0.5000
Tc1 Tc 0.0000 0.5000 0.2336

***

Entry 2:
# PBE-GGA Ca2AlSb, relaxed
# Energy above the lowest structure with this stoichiometry, eV per atom: 0.2349
# Fermi-level density of states, states/eV per cell: 1.06
# Total DFT energy (no corrections), eV per atom: -3.250
# Formation energy from raw total energies, meV/atom: -283
data_Ca2AlSb
_chemical_formula_sum 'Ca2 Al1 Sb1'
_cell_length_a 3.8001
_cell_length_b 3.8001
_cell_length_c 8.3729
_cell_angle_alpha 90.00
_cell_angle_beta 90.00
_cell_angle_gamma 90.00
_symmetry_space_group_name_H-M 'P 4 m m'
_symmetry_Int_Tables_number 99
loop_
_symmetry_equiv_pos_as_xyz
'x,y,z'
'-y,x,z'
'-x,-y,z'
'y,-x,z'
'-x,y,z'
'y,x,z'
'x,-y,z'
'-y,-x,z'
loop_
_atom_site_label
_atom_site_type_symbol
_atom_site_fract_x
_atom_site_fract_y
_atom_site_fract_z
Ca1 Ca 0.0000 0.0000 0.0000
Ca2 Ca 0.5000 0.5000 0.3649
Al1 Al 0.5000 0.5000 0.7535
Sb1 Sb 0.0000 0.0000 0.6107

***

Entry 3:
# PBE-GGA HfZrTc, relaxed
# Energy above the lowest structure with this stoichiometry, eV per atom: 0.3911
# Fermi-level density of states, states/eV per cell: 3.67
# Total DFT energy (no corrections), eV per atom: -9.526
# Formation energy from the elements, eV/atom: 0.096
data_HfZrTc
_chemical_formula_sum 'Hf1 Zr1 Tc1'
_cell_length_a 3.1987
_cell_length_b 4.4860
_cell_length_c 4.6022
_cell_angle_alpha 90.00
_cell_angle_beta 90.00
_cell_angle_gamma 90.00
_symmetry_space_group_name_H-M 'P m m m'
_symmetry_Int_Tables_number 47
loop_
_symmetry_equiv_pos_as_xyz
'x,y,z'
'-x,-y,-z'
'-x,-y,z'
'x,y,-z'
'x,-y,-z'
'-x,y,z'
'-x,y,-z'
'x,-y,z'
loop_
_atom_site_label
_atom_site_type_symbol
_atom_site_fract_x
_atom_site_fract_y
_atom_site_fract_z
Hf1 Hf 0.0000 0.0000 0.0000
Zr1 Zr 0.0000 0.5000 0.5000
Tc1 Tc 0.5000 0.5000 0.0000

***

Entry 4:
# PBE-GGA KAl2Ni, relaxed
# Energy above the lowest structure with this stoichiometry, eV per atom: 0.7504
# Fermi-level density of states, states/eV per cell: 5.73
# Total DFT energy (no corrections), eV per atom: -2.965
# Formation energy from the elements, eV/atom: 0.626
data_KAl2Ni
_chemical_formula_sum 'K2 Al4 Ni2'
_cell_length_a 5.7429
_cell_length_b 10.0328
_cell_length_c 2.7522
_cell_angle_alpha 90.00
_cell_angle_beta 90.00
_cell_angle_gamma 90.00
_symmetry_space_group_name_H-M 'C m m m'
_symmetry_Int_Tables_number 65
_symmetry_space_group_name_Hall '-C 2 2'
loop_
_atom_site_label
_atom_site_type_symbol
_atom_site_fract_x
_atom_site_fract_y
_atom_site_fract_z
K1 K 0.0000 0.0000 0.0000
Al1 Al 0.2500 0.2500 0.5000
Ni1 Ni 0.0000 0.5000 0.0000

***

Entry 5:
# PBE-GGA Zr2Cd2Ga, relaxed
# Energy above the lowest structure with this stoichiometry, eV per atom: 0.3498
# Fermi-level density of states, states/eV per cell: 8.41
# Total DFT energy (no corrections), eV per atom: -4.056
# Formation energy from the elements, eV/atom: 0.334
data_Zr2Cd2Ga
_chemical_formula_sum 'Zr4 Cd4 Ga2'
_cell_length_a 3.9878
_cell_length_b 3.9878
_cell_length_c 15.3280
_cell_angle_alpha 90.00
_cell_angle_beta 90.00
_cell_angle_gamma 90.00
_symmetry_space_group_name_H-M 'I 4/m m m'
_symmetry_Int_Tables_number 139
_symmetry_space_group_name_Hall '-I 4 2'
loop_
_atom_site_label
_atom_site_type_symbol
_atom_site_fract_x
_atom_site_fract_y
_atom_site_fract_z
Zr1 Zr 0.0000 0.5000 0.2500
Cd1 Cd 0.0000 0.0000 0.0922
Ga1 Ga 0.0000 0.0000 0.5000

***

Entry 6:
# PBE-GGA RuRh2Pb, relaxed
# Fermi-level density of states, states/eV per cell: 14.38
# Total DFT energy (no corrections), eV per atom: -6.419
# Formation energy from the elements, eV/atom: 0.503
data_RuRh2Pb
_chemical_formula_sum 'Ru3 Rh6 Pb3'
_cell_length_a 2.9682
_cell_length_b 2.9682
_cell_length_c 26.5784
_cell_angle_alpha 90.00
_cell_angle_beta 90.00
_cell_angle_gamma 120.00
_symmetry_space_group_name_H-M 'R 3 m'
_symmetry_Int_Tables_number 160
_symmetry_space_group_name_Hall 'R 3 -2"'
loop_
_atom_site_label
_atom_site_type_symbol
_atom_site_fract_x
_atom_site_fract_y
_atom_site_fract_z
Ru1 Ru 0.0000 0.0000 0.0000
Rh1 Rh 0.0000 0.0000 0.4885
Rh2 Rh 0.0000 0.0000 0.7416
Pb1 Pb 0.0000 0.0000 0.2422

***

Entry 7:
# PBE-GGA NdBe2H8, relaxed
# Fermi-level density of states, states/eV per cell: 1.55
# Total DFT energy (no corrections), eV per atom: -3.627
data_NdBe2H8
_chemical_formula_sum 'Nd1 Be2 H8'
_cell_length_a 4.2823
_cell_length_b 4.2851
_cell_length_c 5.9533
_cell_angle_alpha 101.01
_cell_angle_beta 100.87
_cell_angle_gamma 117.88
_symmetry_space_group_name_H-M 'P -1'
_symmetry_Int_Tables_number 2
loop_
_symmetry_equiv_pos_as_xyz
'x,y,z'
'-x,-y,-z'
loop_
_atom_site_label
_atom_site_type_symbol
_atom_site_fract_x
_atom_site_fract_y
_atom_site_fract_z
Nd1 Nd 0.0000 0.0000 0.0000
Be1 Be 0.4684 0.8489 0.3177
H1 H 0.0786 0.5826 0.1916
H2 H 0.3298 0.1031 0.4334
H3 H 0.3901 0.8868 0.8085
H4 H 0.3996 0.3893 0.7900

***

Entry 8:
# PBE-GGA Nd3Ho2UN6, relaxed
# Fermi-level density of states, states/eV per cell: 11.34
# Total DFT energy (no corrections), eV per atom: -8.601
# Formation energy from raw total energies, meV/atom: -1543
data_Nd3Ho2UN6
_chemical_formula_sum 'Nd6 Ho4 U2 N12'
_cell_length_a 6.0888
_cell_length_b 10.5314
_cell_length_c 6.1739
_cell_angle_alpha 90.00
_cell_angle_beta 109.17
_cell_angle_gamma 90.00
_symmetry_space_group_name_H-M 'C 1 2/m 1'
_symmetry_Int_Tables_number 12
loop_
_symmetry_equiv_pos_as_xyz
'x,y,z'
'-x,-y,-z'
'-x,y,-z'
'x,-y,z'
'x+1/2,y+1/2,z'
'-x+1/2,-y+1/2,-z'
'-x+1/2,y+1/2,-z'
'x+1/2,-y+1/2,z'
loop_
_atom_site_label
_atom_site_type_symbol
_atom_site_fract_x
_atom_site_fract_y
_atom_site_fract_z
Nd1 Nd 0.0000 0.0000 0.0000
Nd2 Nd 0.0000 0.3317 0.0000
Ho1 Ho 0.0000 0.1662 0.5000
U1 U 0.0000 0.5000 0.5000
N1 N 0.2294 0.3440 0.7202
N2 N 0.2387 0.5000 0.2781